! CdCuMo2, optimized geometry, DFT PBE; values from VASP
! Space-group type   I-4m2
! DFT total energy   -6.214 eV/atom
! ΔH_f (0 K)   455 meV/atom
&SYSTEM
  ibrav = 0, nat = 4, ntyp = 3
/
ATOMIC_SPECIES
Cd 112.41 Cd.upf
Cu 63.55 Cu.upf
Mo 95.94 Mo.upf
ATOMIC_POSITIONS crystal
Cd 0.000 0.000 0.000
Cu 0.250 0.750 0.500
Mo 0.500 0.500 0.000
Mo 0.750 0.250 0.500
CELL_PARAMETERS angstrom
-2.005 2.005 3.957
2.005 -2.005 3.957
2.005 2.005 -3.957


! CdCuMo2, optimized geometry, DFT PBE; values from VASP
! Space-group type   C2/m
! DFT total energy   -6.279 eV/atom
! ΔH_f (0 K)   389 meV/atom
&SYSTEM
  ibrav = 0, nat = 4, ntyp = 3
/
ATOMIC_SPECIES
Cd 112.41 Cd.upf
Cu 63.55 Cu.upf
Mo 95.94 Mo.upf
ATOMIC_POSITIONS crystal
Cd 0.000 0.000 0.000
Cu 0.500 0.500 0.000
Mo 0.000 0.500 0.500
Mo 0.500 0.000 0.500
CELL_PARAMETERS angstrom
2.643 -4.489 0.000
2.643 4.489 0.000
-0.178 0.000 2.685


! Cd2CuMo, optimized geometry, DFT PBE; values from VASP
! Space-group type   R3m
! DFT total energy   -3.873 eV/atom
! ΔH_f (0 K)   316 meV/atom
! Energy above the most stable polymorph in this dataset   65.7 meV per atom
&SYSTEM
  ibrav = 0, nat = 4, ntyp = 3
/
ATOMIC_SPECIES
Cd 112.41 Cd.upf
Cu 63.55 Cu.upf
Mo 95.94 Mo.upf
ATOMIC_POSITIONS crystal
Cd 0.000 0.000 0.000
Cd 0.236 0.236 0.236
Cu 0.746 0.746 0.746
Mo 0.484 0.484 0.484
CELL_PARAMETERS angstrom
1.439 0.831 9.815
-1.439 0.831 9.815
0.000 -1.661 9.815


! CdCuMo, optimized geometry, DFT PBE; values from VASP
! Space-group type   I4mm
! DFT total energy   -4.993 eV/atom
! ΔH_f (0 K)   288 meV/atom
! Energy above the most stable polymorph in this dataset   0.0 meV per atom
&SYSTEM
  ibrav = 0, nat = 3, ntyp = 3
/
ATOMIC_SPECIES
Cd 112.41 Cd.upf
Cu 63.55 Cu.upf
Mo 95.94 Mo.upf
ATOMIC_POSITIONS crystal
Cd 0.000 0.000 0.000
Cu 0.334 0.334 0.000
Mo 0.685 0.685 0.000
CELL_PARAMETERS angstrom
-1.376 1.376 6.306
1.376 -1.376 6.306
1.376 1.376 -6.306


! CdCuMo, optimized geometry, DFT PBE; values from VASP
! Space-group type   F-43m
! DFT total energy   -4.465 eV/atom
! ΔH_f (0 K)   816 meV/atom
! Energy above the most stable polymorph in this dataset   528.3 meV per atom
&SYSTEM
  ibrav = 0, nat = 3, ntyp = 3
/
ATOMIC_SPECIES
Cd 112.41 Cd.upf
Cu 63.55 Cu.upf
Mo 95.94 Mo.upf
ATOMIC_POSITIONS crystal
Cd 0.000 0.000 0.000
Cu 0.750 0.750 0.750
Mo 0.500 0.500 0.500
CELL_PARAMETERS angstrom
0.000 2.997 2.997
2.997 0.000 2.997
2.997 2.997 0.000


! CdCuMo2, optimized geometry, DFT PBE; values from VASP
! Space-group type   Pm
! DFT total energy   -6.337 eV/atom
! ΔH_f (0 K)   331 meV/atom
&SYSTEM
  ibrav = 0, nat = 4, ntyp = 3
/
ATOMIC_SPECIES
Cd 112.41 Cd.upf
Cu 63.55 Cu.upf
Mo 95.94 Mo.upf
ATOMIC_POSITIONS crystal
Cd 0.000 0.000 0.000
Cu 0.025 0.500 0.258
Mo 0.407 0.500 0.721
Mo 0.615 0.000 0.492
CELL_PARAMETERS angstrom
2.699 0.000 0.000
0.000 4.395 0.000
-0.635 0.000 5.460


! CdCuMo, optimized geometry, DFT PBE; values from VASP
! Space-group type   P3m1
! DFT total energy   -4.911 eV/atom
! ΔH_f (0 K)   370 meV/atom
! Energy above the most stable polymorph in this dataset   81.7 meV per atom
&SYSTEM
  ibrav = 0, nat = 3, ntyp = 3
/
ATOMIC_SPECIES
Cd 112.41 Cd.upf
Cu 63.55 Cu.upf
Mo 95.94 Mo.upf
ATOMIC_POSITIONS crystal
Cd 0.000 0.000 0.000
Cu 0.667 0.333 0.331
Mo 0.333 0.667 0.636
CELL_PARAMETERS angstrom
2.815 0.000 0.000
-1.407 2.438 0.000
0.000 0.000 7.077


! Cd2CuMo, optimized geometry, DFT PBE; values from VASP
! Space-group type   P2/m
! DFT total energy   -3.758 eV/atom
! ΔH_f (0 K)   431 meV/atom
! Energy above the most stable polymorph in this dataset   180.4 meV per atom
&SYSTEM
  ibrav = 0, nat = 4, ntyp = 3
/
ATOMIC_SPECIES
Cd 112.41 Cd.upf
Cu 63.55 Cu.upf
Mo 95.94 Mo.upf
ATOMIC_POSITIONS crystal
Cd 0.165 0.000 0.255
Cd 0.835 0.000 0.745
Cu 0.000 0.500 0.500
Mo 0.500 0.500 0.000
CELL_PARAMETERS angstrom
2.749 0.000 0.000
0.000 4.572 0.000
-1.039 0.000 5.490


! CdCuMo2, optimized geometry, DFT PBE; values from VASP
! Space-group type   R3m
! DFT total energy   -6.325 eV/atom
! ΔH_f (0 K)   343 meV/atom
&SYSTEM
  ibrav = 0, nat = 4, ntyp = 3
/
ATOMIC_SPECIES
Cd 112.41 Cd.upf
Cu 63.55 Cu.upf
Mo 95.94 Mo.upf
ATOMIC_POSITIONS crystal
Cd 0.000 0.000 0.000
Cu 0.748 0.748 0.748
Mo 0.242 0.242 0.242
Mo 0.492 0.492 0.492
CELL_PARAMETERS angstrom
1.397 0.806 9.587
-1.397 0.806 9.587
0.000 -1.613 9.587


! Cd2CuMo, optimized geometry, DFT PBE; values from VASP
! Space-group type   P4/mmm
! DFT total energy   -3.906 eV/atom
! ΔH_f (0 K)   284 meV/atom
! Energy above the most stable polymorph in this dataset   33.2 meV per atom
&SYSTEM
  ibrav = 0, nat = 4, ntyp = 3
/
ATOMIC_SPECIES
Cd 112.41 Cd.upf
Cu 63.55 Cu.upf
Mo 95.94 Mo.upf
ATOMIC_POSITIONS crystal
Cd 0.000 0.000 0.237
Cd 0.000 0.000 0.763
Cu 0.500 0.500 0.000
Mo 0.500 0.500 0.500
CELL_PARAMETERS angstrom
2.809 0.000 0.000
0.000 2.809 0.000
0.000 0.000 8.634


! CdCu4Mo, optimized geometry, DFT PBE; values from VASP
! Space-group type   F-43m
! DFT total energy   -4.414 eV/atom
! ΔH_f (0 K)   275 meV/atom
&SYSTEM
  ibrav = 0, nat = 6, ntyp = 3
/
ATOMIC_SPECIES
Cd 112.41 Cd.upf
Cu 63.55 Cu.upf
Mo 95.94 Mo.upf
ATOMIC_POSITIONS crystal
Cd 0.000 0.000 0.000
Cu 0.126 0.625 0.625
Cu 0.625 0.126 0.625
Cu 0.625 0.625 0.126
Cu 0.625 0.625 0.625
Mo 0.250 0.250 0.250
CELL_PARAMETERS angstrom
0.000 3.478 3.478
3.478 0.000 3.478
3.478 3.478 0.000


! CdCuMo2, optimized geometry, DFT PBE; values from VASP
! Space-group type   Cm
! DFT total energy   -6.278 eV/atom
! ΔH_f (0 K)   391 meV/atom
&SYSTEM
  ibrav = 0, nat = 4, ntyp = 3
/
ATOMIC_SPECIES
Cd 112.41 Cd.upf
Cu 63.55 Cu.upf
Mo 95.94 Mo.upf
ATOMIC_POSITIONS crystal
Cd 0.000 0.000 0.000
Cu 0.251 0.251 0.774
Mo 0.512 0.512 0.507
Mo 0.753 0.753 0.298
CELL_PARAMETERS angstrom
4.663 -1.322 0.000
4.663 1.322 0.000
-0.492 0.000 5.230